(1)
Material: Rb2Hg2S
Method: DFT, PBEsol
State: relaxed

Properties
Final energy ... -1.77 eV per atom

```
data_Rb2Hg2S
_cell_length_a 6.619
_cell_length_b 6.619
_cell_length_c 8.894
_cell_angle_alpha 90.00
_cell_angle_beta 90.00
_cell_angle_gamma 90.00
_space_group_name_H-M_alt 'I 4/m m m'
_space_group_IT_number 139
_space_group_name_Hall '-I 4 2'
loop_
_atom_site_label
_atom_site_fract_x
_atom_site_fract_y
_atom_site_fract_z
Rb1 0.000 0.500 0.250
Hg1 0.000 0.000 0.182
S1 0.000 0.000 0.500
```

(2)
Material: Rb2HgSb2
Method: DFT, PBEsol
State: relaxed

Properties
Final energy ... -2.49 eV per atom

```
data_Rb2HgSb2
_cell_length_a 4.264
_cell_length_b 4.264
_cell_length_c 21.644
_cell_angle_alpha 90.00
_cell_angle_beta 90.00
_cell_angle_gamma 90.00
_space_group_name_H-M_alt 'I 4/m m m'
_space_group_IT_number 139
_space_group_name_Hall '-I 4 2'
loop_
_atom_site_label
_atom_site_fract_x
_atom_site_fract_y
_atom_site_fract_z
Rb1 0.000 0.000 0.109
Hg1 0.000 0.000 0.500
Sb1 0.000 0.500 0.250
```

(3)
Material: Rb2HgSb
Method: DFT, PBEsol
State: relaxed

Properties
Final energy ... -1.96 eV per atom

```
data_Rb2HgSb
_cell_length_a 8.485
_cell_length_b 8.485
_cell_length_c 8.485
_cell_angle_alpha 90.00
_cell_angle_beta 90.00
_cell_angle_gamma 90.00
_space_group_name_H-M_alt 'F m -3 m'
_space_group_IT_number 225
_space_group_name_Hall '-F 4 2 3'
loop_
_atom_site_label
_atom_site_fract_x
_atom_site_fract_y
_atom_site_fract_z
Rb1 0.250 0.250 0.250
Hg1 0.000 0.000 0.000
Sb1 0.000 0.000 0.500
```

(4)
Material: RbHgSb3
Method: DFT, PBEsol
State: relaxed

Properties
Final energy ... -2.72 eV per atom

```
data_RbHgSb3
_cell_length_a 5.620
_cell_length_b 5.620
_cell_length_c 5.620
_cell_angle_alpha 90.00
_cell_angle_beta 90.00
_cell_angle_gamma 90.00
_space_group_name_H-M_alt 'P m -3 m'
_space_group_IT_number 221
_space_group_name_Hall '-P 4 2 3'
loop_
_atom_site_label
_atom_site_fract_x
_atom_site_fract_y
_atom_site_fract_z
Rb1 0.000 0.000 0.000
Hg1 0.500 0.500 0.500
Sb1 0.000 0.500 0.500
```